Record 1
! Ba3Bi2PbO9, relaxed, DFT PBE; values from VASP
&SYSTEM
  ibrav = 0, nat = 30, ntyp = 4
/
ATOMIC_SPECIES
Ba 137.33 Ba.upf
Bi 208.98 Bi.upf
Pb 207.20 Pb.upf
O 16.00 O.upf
CELL_PARAMETERS angstrom
5.384 -3.101 0.000
5.384 3.101 0.000
-0.144 0.000 15.247
ATOMIC_POSITIONS crystal
Ba 0.003 0.003 0.246
Ba 0.331 0.331 0.417
Ba 0.335 0.335 0.916
Ba 0.665 0.665 0.084
Ba 0.669 0.669 0.583
Ba 0.997 0.997 0.754
Bi 0.000 0.000 0.000
Bi 0.000 0.000 0.500
Bi 0.332 0.332 0.668
Bi 0.668 0.668 0.332
Pb 0.334 0.334 0.166
Pb 0.666 0.666 0.834
O 0.028 0.525 0.762
O 0.143 0.634 0.574
O 0.146 0.146 0.610
O 0.188 0.188 0.062
O 0.191 0.690 0.095
O 0.310 0.809 0.905
O 0.366 0.857 0.426
O 0.475 0.972 0.238
O 0.480 0.480 0.273
O 0.520 0.520 0.727
O 0.525 0.028 0.762
O 0.634 0.143 0.574
O 0.690 0.191 0.095
O 0.809 0.310 0.905
O 0.812 0.812 0.938
O 0.854 0.854 0.390
O 0.857 0.366 0.426
O 0.972 0.475 0.238
! Raw formation energy (kJ per mole of atoms): -171.4
! M_tot (μB/atom): 0.00

---

Record 2
! La3In2Si2Pt4, relaxed, DFT PBE; values from VASP
&SYSTEM
  ibrav = 0, nat = 11, ntyp = 4
/
ATOMIC_SPECIES
La 138.91 La.upf
In 114.82 In.upf
Si 28.09 Si.upf
Pt 195.08 Pt.upf
CELL_PARAMETERS angstrom
4.429 0.000 0.000
-2.215 3.836 0.000
0.000 0.000 14.899
ATOMIC_POSITIONS crystal
La 0.000 0.000 0.000
La 0.000 0.000 0.264
La 0.000 0.000 0.736
In 0.333 0.667 0.561
In 0.667 0.333 0.439
Si 0.333 0.667 0.142
Si 0.667 0.333 0.858
Pt 0.333 0.667 0.371
Pt 0.333 0.667 0.869
Pt 0.667 0.333 0.131
Pt 0.667 0.333 0.629
! Raw formation energy (kJ per mole of atoms): -91.6
! M_tot (μB/atom): 0.00

---

Record 3
! Nd5Sm3Tm2, relaxed, DFT PBE; values from VASP
&SYSTEM
  ibrav = 0, nat = 20, ntyp = 3
/
ATOMIC_SPECIES
Nd 144.24 Nd.upf
Sm 150.36 Sm.upf
Tm 168.93 Tm.upf
CELL_PARAMETERS angstrom
-4.746 6.896 5.535
4.746 -6.896 5.535
4.746 6.896 -5.535
ATOMIC_POSITIONS crystal
Nd 0.003 0.750 0.253
Nd 0.136 0.108 0.243
Nd 0.250 0.250 0.000
Nd 0.364 0.608 0.972
Nd 0.497 0.750 0.747
Nd 0.503 0.250 0.253
Nd 0.636 0.392 0.028
Nd 0.750 0.750 0.000
Nd 0.864 0.892 0.757
Nd 0.997 0.250 0.747
Sm 0.120 0.755 0.875
Sm 0.250 0.750 0.500
Sm 0.380 0.255 0.635
Sm 0.620 0.745 0.365
Sm 0.750 0.250 0.500
Sm 0.880 0.245 0.125
Tm 0.121 0.420 0.541
Tm 0.379 0.920 0.299
Tm 0.621 0.080 0.701
Tm 0.879 0.580 0.459
! M_tot (μB/atom): 0.00
! ΔH_f (0 K) (meV per atom): 363

---

Record 4
! Rb2BeBCl6, relaxed, DFT PBE; values from VASP
&SYSTEM
  ibrav = 0, nat = 10, ntyp = 4
/
ATOMIC_SPECIES
Rb 85.47 Rb.upf
Be 9.01 Be.upf
B 10.81 B.upf
Cl 35.45 Cl.upf
CELL_PARAMETERS angstrom
-3.786 3.786 4.782
3.786 -3.786 4.782
3.786 3.786 -4.782
ATOMIC_POSITIONS crystal
Rb 0.250 0.750 0.500
Rb 0.750 0.250 0.500
Be 0.000 0.000 0.000
B 0.500 0.500 0.000
Cl 0.201 0.201 0.402
Cl 0.201 0.799 0.000
Cl 0.324 0.324 0.000
Cl 0.676 0.676 0.000
Cl 0.799 0.201 0.000
Cl 0.799 0.799 0.598
! Raw formation energy (kJ per mole of atoms): -94.3
! M_tot (μB/atom): 0.10

---

Record 5
! TbDyGaFe, relaxed, DFT PBE; values from VASP
&SYSTEM
  ibrav = 0, nat = 4, ntyp = 4
/
ATOMIC_SPECIES
Tb 158.93 Tb.upf
Dy 162.50 Dy.upf
Ga 69.72 Ga.upf
Fe 55.84 Fe.upf
CELL_PARAMETERS angstrom
0.000 3.501 3.501
3.501 0.000 3.501
3.501 3.501 0.000
ATOMIC_POSITIONS crystal
Tb 0.000 0.000 0.000
Dy 0.500 0.500 0.500
Ga 0.750 0.750 0.750
Fe 0.250 0.250 0.250
! M_tot (μB/atom): 0.38
! ΔH_f (0 K) (meV per atom): -175

---

Record 6
! W3Br, relaxed, DFT PBE; values from VASP
&SYSTEM
  ibrav = 0, nat = 4, ntyp = 2
/
ATOMIC_SPECIES
W 183.84 W.upf
Br 79.90 Br.upf
CELL_PARAMETERS angstrom
1.573 -2.414 0.000
1.573 2.414 0.000
0.000 0.000 9.213
ATOMIC_POSITIONS crystal
W 0.000 0.000 0.000
W 0.500 0.500 0.233
W 0.500 0.500 0.767
Br 0.000 0.000 0.500
! Raw formation energy (kJ per mole of atoms): 73.0
! M_tot (μB/atom): 0.00

---

| no. | density (g/cm³) |
| --- | --- |
| 1 | 7.705 |
| 2 | 9.728 |
| 3 | 6.921 |
| 4 | 2.444 |
| 5 | 8.648 |
| 6 | 14.985 |